1.
Below is a PBEsol-optimized structure of BaMg2Zn, with properties calculated at the SCAN level.

a b c (Å): 4.7344 4.7344 18.4388
angles (deg): 90.00 90.00 120.00
With the nearest neighbours (Å) after each atom.
Element x y z (fractional)
Ba 0.0000 0.0000 0.0000  8 Mg 3.68, 6 Zn 4.11
Ba 0.3333 0.6667 0.6667  8 Mg 3.68, 6 Zn 4.11
Ba 0.6667 0.3333 0.3333  8 Mg 3.68, 6 Zn 4.11
Mg 0.0000 0.0000 0.1994  3 Zn 2.80, 3 Mg 2.99
Mg 0.0000 0.0000 0.8006  3 Zn 2.80, 3 Mg 2.99
Mg 0.3333 0.6667 0.4673  3 Zn 2.80, 3 Mg 2.99
Mg 0.3333 0.6667 0.8660  3 Zn 2.80, 3 Mg 2.99
Mg 0.6667 0.3333 0.1340  3 Zn 2.80, 3 Mg 2.99
Mg 0.6667 0.3333 0.5327  3 Zn 2.80, 3 Mg 2.99
Zn 0.0000 0.0000 0.5000  6 Mg 2.80
Zn 0.3333 0.6667 0.1667  6 Mg 2.80
Zn 0.6667 0.3333 0.8333  6 Mg 2.80

Calculated values
Density = 3.5 g/cm3
Magnetic moment = 0.32 μB/cell
Energy of formation from the pure elements = -68 meV per atom
SG = R-3m, No. 166
DOS(E_F) = 0.66 states/eV/atom
Electronic total energy = -15.821 eV/atom

=====

2.
Below is a PBEsol-optimized structure of BAs2RuBr, with properties calculated at the SCAN level.

a b c (Å): 4.1950 4.1950 4.4732
angles (deg): 90.00 90.00 90.00
With the nearest neighbours (Å) after each atom.
Element x y z (fractional)
B 0.0000 0.0000 0.0000  4 As 2.10, 2 Br 2.24
As 0.0000 0.5000 0.0000  2 B 2.10
As 0.5000 0.0000 0.0000  2 B 2.10
Ru 0.5000 0.5000 0.5000  4 Br 2.97, 8 As 3.07
Br 0.0000 0.0000 0.5000  2 B 2.24

Calculated values
Energy relative to the lowest polymorph listed for this composition = 0 meV/atom
Density = 7.2 g/cm3
Magnetic moment = 0.00 μB/cell
SG = P4/mmm, No. 123
DOS(E_F) = 0.40 states/eV/atom
Electronic total energy = -19.193 eV/atom
Uncorrected formation energy = 1.227 eV/atom

=====

3.
Below is a PBEsol-optimized structure of ScTl2Cd, with properties calculated at the SCAN level.

a b c (Å): 5.1897 3.4394 5.5398
angles (deg): 90.00 109.37 90.00
With the nearest neighbours (Å) after each atom.
Element x y z (fractional)
Sc 0.0000 0.0000 0.0000  6 Tl 3.10-3.11, 4 Cd 3.26, 2 Sc 3.44
Tl 0.5000 0.0000 0.5000  2 Sc 3.10, 4 Cd 3.11, 6 Tl 3.26-3.44
Tl 0.5000 0.5000 0.0000  2 Cd 3.10, 4 Sc 3.11, 6 Tl 3.26-3.44
Cd 0.0000 0.5000 0.5000  6 Tl 3.10-3.11, 4 Sc 3.26, 2 Cd 3.44

Calculated values
Energy relative to the lowest polymorph listed for this composition = 49 meV/atom
Density = 10.1 g/cm3
Magnetic moment = 0.00 μB/cell
Energy of formation from the pure elements = -196 meV per atom
SG = P2/m, No. 10
DOS(E_F) = 0.46 states/eV/atom
Electronic total energy = -47.538 eV/atom

=====

4.
Below is a PBEsol-optimized structure of IrRu5, with properties calculated at the SCAN level.

a b c (Å): 3.7768 11.3219 3.7738
angles (deg): 90.00 90.00 90.00
With the nearest neighbours (Å) after each atom.
Element x y z (fractional)
Ir 0.0000 0.0000 0.0000  12 Ru 2.67-2.68
Ir 0.5000 0.5000 0.0000  12 Ru 2.67-2.68
Ru 0.0000 0.1676 0.5000  10 Ru 2.65-2.68, 2 Ir 2.68
Ru 0.0000 0.3323 0.0000  10 Ru 2.65-2.68, 2 Ir 2.68
Ru 0.0000 0.5000 0.5000  4 Ir 2.67, 8 Ru 2.68
Ru 0.0000 0.6677 0.0000  10 Ru 2.65-2.68, 2 Ir 2.68
Ru 0.0000 0.8324 0.5000  10 Ru 2.65-2.68, 2 Ir 2.68
Ru 0.5000 0.0000 0.5000  4 Ir 2.67, 8 Ru 2.68
Ru 0.5000 0.1677 0.0000  10 Ru 2.65-2.68, 2 Ir 2.68
Ru 0.5000 0.3324 0.5000  10 Ru 2.65-2.68, 2 Ir 2.68
Ru 0.5000 0.6676 0.5000  10 Ru 2.65-2.68, 2 Ir 2.68
Ru 0.5000 0.8323 0.0000  10 Ru 2.65-2.68, 2 Ir 2.68

Calculated values
Energy relative to the lowest polymorph listed for this composition = 104 meV/atom
Density = 14.4 g/cm3
Magnetic moment = 0.00 μB/cell
Energy of formation from the pure elements = 51 meV per atom
SG = Cmmm, No. 65
DOS(E_F) = 0.98 states/eV/atom
Electronic total energy = -40.820 eV/atom